A geometry-optimized LiPaMnO6 structure, computed with PBE+U.

The space group is P312 (No. 149) and the conventional cell measures 5.1136, 5.1136 and 4.6937 Å, with angles of 90.00, 90.00 and 120.00 degrees. The asymmetric unit holds Li at (0.0000, 0.0000, 0.0000), Pa at (0.6667, 0.3333, 0.5000), Mn at (0.3333, 0.6667, 0.0000) and O at (0.0252, 0.3610, 0.2303).

For the total magnetic moment, the calculation gives 0.109 μB per atom. The value obtained for the total energy is -66.27 eV/cell.